Entry 1:
This record from Alexandria via LeMat-Bulk describes a geometry-optimized Cs2CdGa3F12 structure. The functional is PBE.

```
data_Cs2CdGa3F12
_chemical_formula_sum 'Cs6 Cd3 Ga9 F36'
_cell_length_a 7.5541
_cell_length_b 7.5541
_cell_length_c 18.8461
_cell_angle_alpha 90.00
_cell_angle_beta 90.00
_cell_angle_gamma 120.00
_space_group_name_H-M_alt 'R -3 m'
_space_group_IT_number 166
_space_group_name_Hall '-R 3 2"'
loop_
_atom_site_label
_atom_site_type_symbol
_atom_site_fract_x
_atom_site_fract_y
_atom_site_fract_z
_atom_site_occupancy
Cs1 Cs 0.0000 0.0000 0.1198 1
Cd1 Cd 0.0000 0.0000 0.5000 1
Ga1 Ga 0.0000 0.5000 0.0000 1
F1 F 0.0206 0.5103 0.1007 1
F2 F 0.0781 0.5391 0.3394 1
```



Entry 2:
This record from Alexandria via LeMat-Bulk describes a geometry-optimized Tb8PmPr4 structure. The functional is PBE.

Calculated values
The formation energy comes out at 0.5139 eV per atom.

```
data_Tb8PmPr4
_chemical_formula_sum 'Tb24 Pm3 Pr12'
_cell_length_a 11.1442
_cell_length_b 11.1442
_cell_length_c 13.6066
_cell_angle_alpha 90.00
_cell_angle_beta 90.00
_cell_angle_gamma 120.00
_space_group_name_H-M_alt 'R -3 m'
_space_group_IT_number 166
_space_group_name_Hall '-R 3 2"'
loop_
_atom_site_label
_atom_site_type_symbol
_atom_site_fract_x
_atom_site_fract_y
_atom_site_fract_z
_atom_site_occupancy
Tb1 Tb 0.0000 0.0000 0.2390 1
Tb2 Tb 0.0144 0.5072 0.7457 1
Pm1 Pm 0.0000 0.0000 0.5000 1
Pr1 Pr 0.0000 0.0000 0.0000 1
Pr2 Pr 0.0000 0.5000 0.0000 1
```



Entry 3:
This record from Alexandria via LeMat-Bulk describes a geometry-optimized ScTi2Zn2 structure. The functional is PBE.

Calculated values
The formation energy comes out at 0.2063 eV per atom.

```
data_ScTi2Zn2
_chemical_formula_sum 'Sc2 Ti4 Zn4'
_cell_length_a 3.980
_cell_length_b 3.980
_cell_length_c 11.859
_cell_angle_alpha 90.00
_cell_angle_beta 90.00
_cell_angle_gamma 90.00
_space_group_name_H-M_alt 'I 4/m m m'
_space_group_IT_number 139
_space_group_name_Hall '-I 4 2'
loop_
_atom_site_label
_atom_site_type_symbol
_atom_site_fract_x
_atom_site_fract_y
_atom_site_fract_z
_atom_site_occupancy
Sc1 Sc 0.000 0.000 0.000 1
Ti1 Ti 0.000 0.000 0.397 1
Zn1 Zn 0.000 0.500 0.250 1
```



Entry 4:
This record from Alexandria via LeMat-Bulk describes a geometry-optimized BaLiEuPd structure. The functional is PBE.

Calculated values
The formation energy comes out at -0.2192 eV per atom.

```
data_BaLiEuPd
_chemical_formula_sum 'Ba4 Li4 Eu4 Pd4'
_cell_length_a 7.776
_cell_length_b 7.776
_cell_length_c 7.776
_cell_angle_alpha 90.00
_cell_angle_beta 90.00
_cell_angle_gamma 90.00
_space_group_name_H-M_alt 'F -4 3 m'
_space_group_IT_number 216
_space_group_name_Hall 'F -4 2 3'
loop_
_atom_site_label
_atom_site_type_symbol
_atom_site_fract_x
_atom_site_fract_y
_atom_site_fract_z
_atom_site_occupancy
Ba1 Ba 0.000 0.000 0.000 1
Li1 Li 0.250 0.250 0.250 1
Eu1 Eu 0.000 0.000 0.500 1
Pd1 Pd 0.250 0.250 0.750 1
```



no.,calculated total energy (eV/cell),DOS(E_F) (states/eV/cell)
1,-241.4,8.526
2,-162.7,67.906
3,-47.3,12.631
4,-80.7,29.134